No. 1
# PIrCl2

A relaxed structure of PIrCl2 (PBE, the Alexandria database).

abc: 5.797 7.923 2.898
angles: 90.00 90.00 90.00
Space group Cmmm (No. 65)
One atom of each set of equivalent atoms:
P 0.000 0.000 0.000 [2 per cell]
Ir 0.000 0.500 0.000 [2 per cell]
Cl 0.250 0.250 0.500 [4 per cell]

Relative energy among the computed polymorphs = 1849 meV/atom
Formation energy without anion corrections = 1.1869 eV per atom
DFT total energy = -3.30 eV per atom


No. 2
# TiSb2HRu

A relaxed structure of TiSb2HRu (PBE, the Alexandria database).

abc: 5.231 5.231 3.289
angles: 90.00 90.00 90.00
Space group P4/mmm (No. 123)
One atom of each set of equivalent atoms:
Ti 0.000 0.000 0.000 [1 per cell]
Sb 0.000 0.500 0.500 [2 per cell]
H 0.500 0.500 0.000 [1 per cell]
Ru 0.500 0.500 0.500 [1 per cell]

DFT total energy = -5.53 eV per atom


No. 3
# ZnSnO2

A relaxed structure of ZnSnO2 (PBE, the Alexandria database).

abc: 5.900 5.900 5.900
angles: 90.00 90.00 90.00
Space group Fm-3m (No. 225)
One atom of each set of equivalent atoms:
Zn 0.000 0.000 0.000 [4 per cell]
Sn 0.000 0.000 0.500 [4 per cell]
O 0.250 0.250 0.250 [8 per cell]

Relative energy among the computed polymorphs = 836 meV/atom
Formation energy without anion corrections = -0.4331 eV per atom
DFT total energy = -4.23 eV per atom


No. 4
# Pu6ScGe5

A relaxed structure of Pu6ScGe5 (PBE, the Alexandria database).

abc: 4.697 7.949 14.512
angles: 90.00 90.00 90.00
Space group Immm (No. 71)
One atom of each set of equivalent atoms:
Pu 0.000 0.225 0.000 [4 per cell]
Pu 0.000 0.261 0.318 [8 per cell]
Sc 0.000 0.000 0.500 [2 per cell]
Ge 0.000 0.000 0.170 [4 per cell]
Ge 0.000 0.500 0.139 [4 per cell]
Ge 0.000 0.500 0.500 [2 per cell]

Energy of formation = -339 meV per atom
DFT total energy = -9.96 eV per atom


No. 5
# GaAsAuC

A relaxed structure of GaAsAuC (PBE, the Alexandria database).

abc: 8.445 3.472 5.893
angles: 90.00 121.91 90.00
Space group Cm (No. 8)
One atom of each set of equivalent atoms:
Ga 0.000 0.000 0.000 [2 per cell]
As 0.141 0.500 0.700 [2 per cell]
Au 0.399 0.500 0.371 [2 per cell]
C 0.124 0.500 0.025 [2 per cell]

Relative energy among the computed polymorphs = 160 meV/atom
Energy of formation = 456 meV per atom
DFT total energy = -4.59 eV per atom


No. 6
# PrCu13

A relaxed structure of PrCu13 (PBE, the Alexandria database).

abc: 11.585 11.585 11.585
angles: 90.00 90.00 90.00
Space group Fm-3c (No. 226)
One atom of each set of equivalent atoms:
Pr 0.250 0.250 0.250 [8 per cell]
Cu 0.000 0.000 0.000 [8 per cell]
Cu 0.000 0.117 0.180 [96 per cell]

Energy of formation = -58 meV per atom
DFT total energy = -4.20 eV per atom


What is the DFT total energy in the second record?
-5.53 eV per atom